Here is a relaxed Sr2TbAs3Pt4 crystal from Alexandria. Energies are from GGA-PBE.

a = 4.3925 Å, b = 4.3925 Å, c = 11.2775 Å
α = 90.00°, β = 90.00°, γ = 90.00°
Last column: nearest neighbours and their distance in Å.
Space group P-4m2 (No. 115)
Asymmetric unit:
Sr  0.0000  0.5000  0.2251 x2  4 As 3.32, 8 Pt 3.36-3.38
Tb  0.0000  0.0000  0.5000 x1  4 Pt 2.82, 4 As 3.11
As  0.0000  0.5000  0.8784 x2  5 Pt 2.50-2.59
As  0.5000  0.5000  0.5000 x1  4 Pt 2.82, 4 Tb 3.11
Pt  0.0000  0.0000  0.0000 x1  4 As 2.59
Pt  0.0000  0.5000  0.6570 x2  1 As 2.50
Pt  0.5000  0.5000  0.0000 x1  4 As 2.59

Output
total magnetization	0.00	Bohr magnetons per cell
final energy	-54.8	eV per cell
formation energy	-867.3	meV per atom


Here is a relaxed Ca2Be3Ge4Rh crystal from Alexandria. Energies are from GGA-PBE.

a = 4.0610 Å, b = 4.0610 Å, c = 10.0586 Å
α = 90.00°, β = 90.00°, γ = 90.00°
Last column: nearest neighbours and their distance in Å.
Space group P-4m2 (No. 115)
Asymmetric unit:
Ca  0.0000  0.5000  0.2458 x2  8 Ge 3.09-3.20, 6 Be 3.10-3.27, 2 Rh 3.27
Be  0.0000  0.5000  0.8714 x2  5 Ge 2.33-2.41
Be  0.5000  0.5000  0.5000 x1  4 Ge 2.47
Ge  0.0000  0.0000  0.0000 x1  4 Be 2.41
Ge  0.0000  0.5000  0.6398 x2  3 Be 2.33-2.47, 2 Rh 2.47
Ge  0.5000  0.5000  0.0000 x1  4 Be 2.41
Rh  0.0000  0.0000  0.5000 x1  4 Ge 2.47

Output
total magnetization	0.00	Bohr magnetons per cell
final energy	-44.5	eV per cell
formation energy	-345.2	meV per atom


Here is a relaxed Ga8Cu2Rh crystal from Alexandria. Energies are from GGA-PBE.

a = 17.0498 Å, b = 4.1551 Å, c = 5.3754 Å
α = 90.00°, β = 106.59°, γ = 90.00°
Last column: nearest neighbours and their distance in Å.
Space group C2/m (No. 12)
Asymmetric unit:
Ga  0.0250  0.0000  0.2949 x4  2 Rh 2.57, 1 Ga 2.58, 1 Cu 2.85
Ga  0.1085  0.5000  0.7710 x4  1 Rh 2.50, 2 Cu 2.67, 1 Ga 2.67
Ga  0.1461  0.5000  0.3207 x4  1 Rh 2.59, 3 Cu 2.66-2.80, 6 Ga 2.67-2.90
Ga  0.2147  0.0000  0.1422 x4  4 Cu 2.60-2.85, 2 Ga 2.69
Cu  0.1865  0.0000  0.6408 x4  10 Ga 2.60-2.85
Rh  0.0000  0.5000  0.0000 x2  8 Ga 2.50-2.59

Output
total magnetization	0.00	Bohr magnetons per cell
final energy	-82.7	eV per cell
formation energy	-145.1	meV per atom


Here is a relaxed PrSm3ErSc crystal from Alexandria. Energies are from GGA-PBE.

a = 18.2282 Å, b = 5.9120 Å, c = 7.2873 Å
α = 90.00°, β = 90.20°, γ = 90.00°
Last column: nearest neighbours and their distance in Å.
Space group C2/m (No. 12)
Asymmetric unit:
Pr  0.1397  0.0000  0.0007 x4  6 Sm 3.26-3.57, 1 Er 3.65
Sm  0.9996  0.0000  0.2822 x4  2 Sc 2.97, 1 Sm 3.17, 2 Pr 3.26-3.28
Sm  0.1824  0.5000  0.7488 x4  1 Sc 3.35, 3 Er 3.38-3.49, 3 Pr 3.57-3.72, 2 Sm 3.64-3.65
Sm  0.1839  0.5000  0.2481 x4  1 Sc 3.33, 3 Er 3.36-3.50, 3 Pr 3.55-3.70, 2 Sm 3.64-3.65
Er  0.1614  0.0000  0.4986 x4  8 Sm 3.34-3.50, 2 Pr 3.65-3.68
Sc  0.0011  0.5000  0.2430 x4  2 Sm 2.97

Output
total magnetization	1.06	Bohr magnetons per cell
final energy	-112.3	eV per cell
formation energy	294.0	meV per atom


Here is a relaxed YMg14Nb crystal from Alexandria. Energies are from GGA-PBE.

a = 10.3640 Å, b = 6.2726 Å, c = 11.3421 Å
α = 90.00°, β = 90.00°, γ = 90.00°
Last column: nearest neighbours and their distance in Å.
Space group Amm2 (No. 38)
Asymmetric unit:
Y  0.0000  0.0000  0.0000 x2  2 Nb 3.14, 10 Mg 3.21-3.26
Mg  0.0000  0.2476  0.2492 x4  8 Mg 3.11-3.25, 2 Nb 3.16-3.32, 2 Y 3.23-3.26
Mg  0.2365  0.0000  0.6508 x4  1 Nb 3.04, 11 Mg 3.12-3.33
Mg  0.2482  0.2437  0.4077 x8  10 Mg 3.06-3.33, 1 Nb 3.14, 1 Y 3.21
Mg  0.2573  0.0000  0.1589 x4  11 Mg 3.13-3.27, 1 Y 3.22
Mg  0.5000  0.0000  0.4970 x2  12 Mg 3.14-3.26
Mg  0.5000  0.0000  0.9941 x2  12 Mg 3.13-3.27
Mg  0.5000  0.2472  0.7461 x4  12 Mg 3.10-3.32
Nb  0.0000  0.0000  0.4917 x2  10 Mg 3.04-3.32, 2 Y 3.14

Output
polymorph energy (0 for the lowest one)	0.0	meV per atom
total magnetization	3.00	Bohr magnetons per cell
final energy	-75.5	eV per cell
formation energy	68.1	meV per atom


Here is a relaxed ReOs crystal from Alexandria. Energies are from GGA-PBE.

a = 5.6098 Å, b = 5.6098 Å, c = 5.6098 Å
α = 90.00°, β = 90.00°, γ = 90.00°
Last column: nearest neighbours and their distance in Å.
Space group F-43m (No. 216)
Asymmetric unit:
Re  0.0000  0.0000  0.0000 x4  4 Os 2.43
Os  0.2500  0.2500  0.2500 x4  4 Re 2.43

Output
polymorph energy (0 for the lowest one)	1466.9	meV per atom
total magnetization	0.00	Bohr magnetons per cell
final energy	-83.7	eV per cell
formation energy	1374.2	meV per atom


Here is a relaxed SmCd2Ge crystal from Alexandria. Energies are from GGA-PBE.

a = 3.2550 Å, b = 3.2550 Å, c = 33.3275 Å
α = 90.00°, β = 90.00°, γ = 120.00°
Last column: nearest neighbours and their distance in Å.
Space group R-3m (No. 166, hexagonal axes)
Asymmetric unit:
Sm  0.0000  0.0000  0.0000 x3  2 Cd 3.16, 6 Sm 3.26
Cd  0.0000  0.0000  0.0950 x6  3 Ge 3.04, 1 Sm 3.16, 6 Cd 3.26
Ge  0.0000  0.0000  0.5000 x3  6 Cd 3.04, 6 Ge 3.26

Output
polymorph energy (0 for the lowest one)	662.9	meV per atom
total magnetization	0.00	Bohr magnetons per cell
final energy	-30.5	eV per cell
formation energy	253.5	meV per atom


Here is a relaxed ErHfAlIn crystal from Alexandria. Energies are from GGA-PBE.

a = 7.0950 Å, b = 7.0950 Å, c = 7.0950 Å
α = 90.00°, β = 90.00°, γ = 90.00°
Last column: nearest neighbours and their distance in Å.
Space group F-43m (No. 216)
Asymmetric unit:
Er  0.0000  0.0000  0.0000 x4  4 In 3.07, 4 Al 3.07
Hf  0.0000  0.0000  0.5000 x4  4 Al 3.07, 4 In 3.07
Al  0.2500  0.2500  0.2500 x4  4 Hf 3.07, 4 Er 3.07
In  0.2500  0.2500  0.7500 x4  4 Hf 3.07, 4 Er 3.07

Output
total magnetization	0.00	Bohr magnetons per cell
final energy	-86.9	eV per cell
formation energy	-184.0	meV per atom


Number 1: volume 217.6 Å³ per cell. Number 2: volume 165.9 Å³ per cell. Number 3: volume 365.0 Å³ per cell. Number 4: volume 785.3 Å³ per cell. Number 5: volume 737.3 Å³ per cell. Number 6: volume 176.5 Å³ per cell. Number 7: volume 305.8 Å³ per cell. Number 8: volume 357.2 Å³ per cell.